! PBE MnInFeNi, optimized geometry; values from VASP
! DFT formation energy: 0.127 eV per atom
! N(E_F): 1.723 states/eV per atom
! Total magnetization: 5.3 μB per cell
! Raw total energy: -25.64 eV per cell
&SYSTEM
  ibrav = 0, nat = 4, ntyp = 4
/
ATOMIC_SPECIES
Ni 58.69 Ni.upf
Mn 54.94 Mn.upf
Fe 55.84 Fe.upf
In 114.82 In.upf
ATOMIC_POSITIONS crystal
Ni 0.000 0.000 0.000
Mn 0.250 0.250 0.250
Fe 0.500 0.500 0.500
In 0.750 0.750 0.750
CELL_PARAMETERS angstrom
-3.417 -2.066 1.537
-1.588 -3.370 -2.105
0.431 -3.935 1.626